The following is a DFT calculation (PBE-GGA) of a relaxed Tb7Tm2Cd2 crystal.

Values from the calculation:
* total magnetization: 0.0 μB/f.u.
* ΔE_f: -0.044 eV per atom
* DOS at the Fermi energy: 1.214 states/eV per atom

Unit cell a=8.600 b=9.664 c=8.457 alpha=90.00 beta=109.86 gamma=90.00
Space group C2/m (No. 12)
One atom of each set of equivalent atoms:
Tb 0.000 0.000 0.000 (multiplicity 2)
Tb 0.138 0.000 0.417 (multiplicity 4)
Tb 0.196 0.323 0.174 (multiplicity 8)
Tm 0.000 0.319 0.500 (multiplicity 4)
Cd 0.120 0.500 0.823 (multiplicity 4)

---

The following is a DFT calculation (PBE-GGA) of a relaxed MgZn2In2 crystal.

Values from the calculation:
* total magnetization: 0.0 μB/f.u.
* ΔE_f: 0.035 eV per atom
* ΔE to the lowest computed polymorph: 0.0000 eV per atom
* DOS at the Fermi energy: 0.400 states/eV per atom

Unit cell a=7.203 b=7.203 c=4.161 alpha=90.00 beta=90.00 gamma=90.00
Space group P4/mbm (No. 127)
One atom of each set of equivalent atoms:
Mg 0.000 0.000 0.000 (multiplicity 2)
Zn 0.126 0.374 0.000 (multiplicity 4)
In 0.177 0.677 0.500 (multiplicity 4)

---

The following is a DFT calculation (PBE-GGA) of a relaxed BaLi4InAu2 crystal.

Values from the calculation:
* total magnetization: 0.0 μB/f.u.
* ΔE_f: -0.367 eV per atom
* DOS at the Fermi energy: 0.441 states/eV per atom

Unit cell a=4.6006 b=4.6006 c=27.8420 alpha=90.00 beta=90.00 gamma=120.00
Space group R-3m (No. 166, hexagonal axes)
One atom of each set of equivalent atoms:
Ba 0.0000 0.0000 0.0000 (multiplicity 3)
Li 0.0000 0.0000 0.1310 (multiplicity 6)
Li 0.0000 0.0000 0.4068 (multiplicity 6)
In 0.0000 0.0000 0.5000 (multiplicity 3)
Au 0.0000 0.0000 0.2370 (multiplicity 6)